Compound: Na2Ho2USe6
Source: Alexandria
Functional: PBE
Structure: optimized geometry

a = 7.143 Å, b = 7.143 Å, c = 7.449 Å
α = 99.25°, β = 99.25°, γ = 119.82°
Sites, in units of the cell vectors:
Se 0.406 0.074 0.725
Se 0.926 0.594 0.275
Se 0.074 0.406 0.725
Se 0.254 0.254 0.276
Se 0.746 0.746 0.724
Se 0.594 0.926 0.275
Ho 0.666 0.334 0.500
Ho 0.334 0.666 0.500
Na 0.168 0.832 0.000
Na 0.832 0.168 0.000
U 0.000 0.000 0.500

The symmetry is No. 12. Its theoretical density is 5.782 g cm⁻³. Its uncorrected energy is -5.532 eV per atom. Its formation energy from raw total energies is -1.533 eV per atom.